[1]
# CoHgIr, relaxed, DFT GGA-PBE
data_CoHgIr
_chemical_formula_sum 'Co4 Hg4 Ir4'
_symmetry_space_group_name_H-M 'F m m 2'
_symmetry_Int_Tables_number 42
_symmetry_space_group_name_Hall 'F 2 -2'
_cell_length_a 2.8363
_cell_length_b 4.8403
_cell_length_c 13.9212
_cell_angle_alpha 90.00
_cell_angle_beta 90.00
_cell_angle_gamma 90.00
loop_
_atom_site_label
_atom_site_type_symbol
_atom_site_fract_x
_atom_site_fract_y
_atom_site_fract_z
Co1 Co 0.0000 0.0000 0.0000
Hg1 Hg 0.0000 0.0000 0.6702
Ir1 Ir 0.0000 0.0000 0.3545
# Energy relative to the lowest polymorph listed for this composition: 0.1859 eV per atom
# Energy relative to the elements: 11.99 kcal/mol of atoms


[2]
# Er2SeF, relaxed, DFT GGA-PBE
data_Er2SeF
_chemical_formula_sum 'Er6 Se3 F3'
_symmetry_space_group_name_H-M 'R -3 m'
_symmetry_Int_Tables_number 166
_symmetry_space_group_name_Hall '-R 3 2"'
_cell_length_a 3.8125
_cell_length_b 3.8125
_cell_length_c 23.7604
_cell_angle_alpha 90.00
_cell_angle_beta 90.00
_cell_angle_gamma 120.00
loop_
_atom_site_label
_atom_site_type_symbol
_atom_site_fract_x
_atom_site_fract_y
_atom_site_fract_z
Er1 Er 0.0000 0.0000 0.0899
Se1 Se 0.0000 0.0000 0.5000
F1 F 0.0000 0.0000 0.0000
# Raw formation energy: -45.43 kcal/mol of atoms


[3]
# Tb6PmPr3Y2, relaxed, DFT GGA-PBE
data_Tb6PmPr3Y2
_chemical_formula_sum 'Tb12 Pm2 Pr6 Y4'
_symmetry_space_group_name_H-M 'C 1 2/m 1'
_symmetry_Int_Tables_number 12
_cell_length_a 6.2580
_cell_length_b 10.8373
_cell_length_c 11.9470
_cell_angle_alpha 90.00
_cell_angle_beta 100.03
_cell_angle_gamma 90.00
loop_
_symmetry_equiv_pos_as_xyz
'x,y,z'
'-x,-y,-z'
'-x,y,-z'
'x,-y,z'
'x+1/2,y+1/2,z'
'-x+1/2,-y+1/2,-z'
'-x+1/2,y+1/2,-z'
'x+1/2,-y+1/2,z'
loop_
_atom_site_label
_atom_site_type_symbol
_atom_site_fract_x
_atom_site_fract_y
_atom_site_fract_z
Tb1 Tb 0.2494 0.0000 0.2473
Tb2 Tb 0.2491 0.3335 0.2471
Pm1 Pm 0.0000 0.5000 0.0000
Pr1 Pr 0.0000 0.0000 0.5000
Pr2 Pr 0.0000 0.3331 0.5000
Y1 Y 0.0000 0.1667 0.0000
# Energy relative to the elements: 0.37 kcal/mol of atoms